Compound: VCo6Si
Source: Alexandria
Functional: PBE-GGA
Structure: optimized geometry

The space group is P4/mmm (No. 123) and the conventional cell measures 4.949, 4.949 and 3.481 Å, with angles of 90.00, 90.00 and 90.00 degrees. The asymmetric unit holds V at (0.000, 0.000, 0.000), Co at (0.000, 0.500, 0.000), Co at (0.252, 0.252, 0.500) and Si at (0.500, 0.500, 0.000).

For the total DFT energy (no corrections), the calculation gives -59.0 eV for the cell shown. Its size of the total moment is 0.0 μB per formula unit. The value obtained for the energy above the most stable polymorph in this dataset is 0 meV/atom.

Compound: V4Co2Si5
Source: Alexandria
Functional: PBE-GGA
Structure: optimized geometry

The space group is Ibam (No. 72) and the conventional cell measures 7.493, 15.169 and 4.782 Å, with angles of 90.00, 90.00 and 90.00 degrees. The asymmetric unit holds V at (0.108, 0.139, 0.000), V at (0.246, 0.437, 0.000), Co at (0.000, 0.302, 0.250), Si at (0.000, 0.000, 0.250), Si at (0.082, 0.428, 0.500) and Si at (0.208, 0.218, 0.500).

For the total DFT energy (no corrections), the calculation gives -333.7 eV for the cell shown. Its size of the total moment is 0.5 μB per formula unit.

Compound: V6CoSi
Source: Alexandria
Functional: PBE-GGA
Structure: optimized geometry

The space group is Pm-3 (No. 200) and the conventional cell measures 4.677, 4.677 and 4.677 Å, with angles of 90.00, 90.00 and 90.00 degrees. The asymmetric unit holds V at (0.000, 0.253, 0.500), Co at (0.500, 0.500, 0.500) and Si at (0.000, 0.000, 0.000).

For the total DFT energy (no corrections), the calculation gives -69.7 eV for the cell shown. Its size of the total moment is 0.0 μB per formula unit.

Sequential energy relative to the elements, uncorrected output: -0.2228; -0.5121; -0.3053 eV per atom